No. 1
Entry from Alexandria via LeMat-Bulk: an optimized crystal structure of RbTbBe2F8 (PBE).

## Properties
Formation energy without anion corrections, eV/atom: -3.493
Calculated total energy, eV per atom: -5.828
Space group: C2/m

Lattice parameters (Å, degrees): 5.114 5.114 8.483 86.40 86.40 65.74
Site moments in Bohr magnetons follow the coordinates.
Element x y z (fractional)
1 Be 0.624 0.624 0.220  0.00
2 Be 0.376 0.376 0.780  0.00
3 F 0.312 0.312 0.621  0.07
4 F 0.688 0.688 0.379  0.07
5 F 0.246 0.711 0.809  0.00
6 F 0.754 0.289 0.191  0.00
7 F 0.711 0.246 0.809  0.00
8 F 0.289 0.754 0.191  0.00
9 F 0.250 0.250 0.927  0.00
10 F 0.750 0.750 0.073  0.00
11 Tb 0.000 0.000 0.000  0.00
12 Rb 0.000 0.000 0.500  0.00

No. 2
Entry from Alexandria via LeMat-Bulk: an optimized crystal structure of HfAlAg (PBE).

## Properties
Energy of formation from the pure elements, meV per atom: -126
Calculated total energy, eV per atom: -5.642
Space group: P-1

Lattice parameters (Å, degrees): 4.322 5.931 5.455 115.90 66.13 111.29
Element x y z (fractional)
1 Hf 0.422 0.109 0.809
2 Hf 0.764 0.268 0.293
3 Ag 0.744 0.740 0.795
4 Ag 0.442 0.637 0.308
5 Al 0.076 0.941 0.343
6 Al 0.110 0.436 0.760

No. 3
Entry from Alexandria via LeMat-Bulk: an optimized crystal structure of Er6HgPd5 (PBE).

## Properties
Energy of formation from the pure elements, meV per atom: -835
Calculated total energy, eV per atom: -5.305
Space group: P2/m

Lattice parameters (Å, degrees): 4.968 7.058 7.843 90.00 108.66 90.00
Element x y z (fractional)
1 Pd 0.336 0.500 0.669
2 Pd 0.000 0.500 0.000
3 Pd 0.664 0.500 0.331
4 Pd 0.667 0.000 0.332
5 Pd 0.333 0.000 0.668
6 Er 0.830 0.254 0.660
7 Er 0.500 0.259 0.000
8 Er 0.830 0.746 0.660
9 Er 0.500 0.741 0.000
10 Er 0.170 0.746 0.340
11 Er 0.170 0.254 0.340
12 Hg 0.000 0.000 0.000

No. 4
Entry from Alexandria via LeMat-Bulk: an optimized crystal structure of NaNb2GaRu (PBE).

## Properties
Energy of formation from the pure elements, meV per atom: 1984
Calculated total energy, eV per atom: -4.768
Space group: P4/mmm

Lattice parameters (Å, degrees): 4.643 4.423 4.643 90.00 90.00 90.00
Site moments in Bohr magnetons follow the coordinates.
Element x y z (fractional)
1 Ru 0.500 0.500 0.500  1.12
2 Nb 0.000 0.000 0.500  -0.01
3 Nb 0.500 0.000 0.000  -0.09
4 Ga 0.000 0.500 0.000  0.00
5 Na 0.000 0.000 0.000  0.00

No. 5
Entry from Alexandria via LeMat-Bulk: an optimized crystal structure of SrFe4Ni (PBE).

## Properties
Energy of formation from the pure elements, meV per atom: 451
Calculated total energy, eV per atom: -6.435
Space group: F-43m

Lattice parameters (Å, degrees): 5.064 5.064 5.064 60.00 60.00 60.00
Site moments in Bohr magnetons follow the coordinates.
Element x y z (fractional)
1 Fe 0.376 0.376 0.376  2.59
2 Fe 0.376 0.873 0.376  2.59
3 Fe 0.873 0.376 0.376  2.59
4 Fe 0.376 0.376 0.873  2.59
5 Ni 0.750 0.750 0.750  0.85
6 Sr 0.000 0.000 0.000  -0.06

No. 6
Entry from Alexandria via LeMat-Bulk: an optimized crystal structure of PmPuPtO6 (PBE).

## Properties
Formation energy without anion corrections, eV/atom: -2.202
Calculated total energy, eV per atom: -8.299
Space group: P-31c

Lattice parameters (Å, degrees): 5.379 5.379 10.419 90.00 90.00 120.00
Site moments in Bohr magnetons follow the coordinates.
Element x y z (fractional)
1 O 0.343 0.985 0.139  -0.06
2 O 0.015 0.657 0.361  -0.06
3 O 0.015 0.358 0.139  -0.06
4 O 0.985 0.642 0.861  -0.06
5 O 0.358 0.015 0.639  -0.06
6 O 0.642 0.985 0.361  -0.06
7 O 0.657 0.642 0.639  -0.06
8 O 0.343 0.358 0.361  -0.06
9 O 0.358 0.343 0.861  -0.06
10 O 0.657 0.015 0.861  -0.06
11 O 0.642 0.657 0.139  -0.06
12 O 0.985 0.343 0.639  -0.06
13 Pt 0.333 0.667 0.250  0.01
14 Pt 0.667 0.333 0.750  0.01
15 Pm 0.000 0.000 0.500  0.00
16 Pm 0.000 0.000 0.000  0.00
17 Pu 0.667 0.333 0.250  3.37
18 Pu 0.333 0.667 0.750  3.37

Please write out number 2 again, unchanged.
Entry from Alexandria via LeMat-Bulk: an optimized crystal structure of HfAlAg (PBE).

## Properties
Energy of formation from the pure elements, meV per atom: -126
Calculated total energy, eV per atom: -5.642
Space group: P-1

Lattice parameters (Å, degrees): 4.322 5.931 5.455 115.90 66.13 111.29
Element x y z (fractional)
1 Hf 0.422 0.109 0.809
2 Hf 0.764 0.268 0.293
3 Ag 0.744 0.740 0.795
4 Ag 0.442 0.637 0.308
5 Al 0.076 0.941 0.343
6 Al 0.110 0.436 0.760

- Among the records above, which one has the highest calculated total energy?
  NaNb2GaRu